## Ba2CdAs2 (PBE)

Data for a geometry-optimized Ba2CdAs2 structure.

## Properties
Total DFT energy (no corrections) = -3.678 eV/atom

Geometry as CIF:
```
data_Ba2CdAs2
_cell_length_a 9.1354
_cell_length_b 9.6402
_cell_length_c 7.9570
_cell_angle_alpha 90.00
_cell_angle_beta 106.09
_cell_angle_gamma 90.00
_symmetry_space_group_name_H-M 'P 1 21/c 1'
_symmetry_Int_Tables_number 14
loop_
_symmetry_equiv_pos_as_xyz
'x,y,z'
'-x,-y,-z'
'-x,y+1/2,-z+1/2'
'x,-y+1/2,z+1/2'
loop_
_atom_site_label
_atom_site_type_symbol
_atom_site_fract_x
_atom_site_fract_y
_atom_site_fract_z
_atom_site_occupancy
Ba1 Ba 0.0032 0.1281 0.2370 1
Ba2 Ba 0.4403 0.1577 0.0823 1
Cd1 Cd 0.2668 0.6135 0.9998 1
As1 As 0.2217 0.1109 0.6692 1
As2 As 0.2624 0.6331 0.6609 1
```